Entry from Alexandria via LeMat-Bulk: crystalline Pu3As5Rh6 at its relaxed geometry (GGA-PBE).

Cell and atoms, written as CIF:
```
data_Pu3As5Rh6
_symmetry_space_group_name_H-M 'P 1'
_symmetry_Int_Tables_number 1
_cell_length_a 3.9991
_cell_length_b 9.8694
_cell_length_c 12.6978
_cell_angle_alpha 90.00
_cell_angle_beta 90.00
_cell_angle_gamma 90.00
loop_
_symmetry_equiv_pos_as_xyz
'x,y,z'
loop_
_atom_site_label
_atom_site_fract_x
_atom_site_fract_y
_atom_site_fract_z
Pu1 0.0000 0.2478 0.6625
Pu2 0.5000 0.7522 0.1625
Pu3 0.5000 0.7522 0.8375
Pu4 0.0000 0.2688 0.0000
Pu5 0.5000 0.7312 0.5000
Pu6 0.0000 0.2478 0.3375
As1 0.0000 0.5353 0.8809
As2 0.0000 0.8452 0.6688
As3 0.0000 0.8551 0.0000
As4 0.5000 0.4647 0.6191
As5 0.5000 0.1449 0.5000
As6 0.0000 0.5353 0.1191
As7 0.5000 0.4647 0.3809
As8 0.0000 0.8452 0.3312
As9 0.5000 0.1548 0.8312
As10 0.5000 0.1548 0.1688
Rh1 0.0000 0.0063 0.8325
Rh2 0.5000 0.9937 0.6675
Rh3 0.5000 0.4030 0.8053
Rh4 0.5000 0.5126 0.0000
Rh5 0.0000 0.4874 0.5000
Rh6 0.0000 0.5970 0.6947
Rh7 0.0000 0.5970 0.3053
Rh8 0.5000 0.0118 0.0000
Rh9 0.0000 0.0063 0.1675
Rh10 0.5000 0.4030 0.1947
Rh11 0.0000 0.9882 0.5000
Rh12 0.5000 0.9937 0.3325
```

The calculation puts the energy relative to the elements at -747 meV/atom. The calculation puts the raw total energy at -8.63 eV per atom. Its density of states at the Fermi level is 66.7 states/eV/cell.